No. 1
First-principles (PBE-GGA) data for crystalline Nd3MgSi4 at its relaxed geometry, as listed in Alexandria via LeMat-Bulk.

Lattice parameters (Å, degrees): 8.6110 8.6110 8.6110 150.79 139.08 51.06
Sites, in units of the cell vectors:
Nd  0.0000  0.0000  0.0000
Nd  0.3093  0.8093  0.5000
Nd  0.6907  0.1907  0.5000
Mg  0.5000  0.5000  0.0000
Si  0.0647  0.3732  0.6915
Si  0.3183  0.6268  0.6915
Si  0.6817  0.3732  0.3085
Si  0.9353  0.6268  0.3085

total moment	0.0	μB per cell
formation energy (no corrections)	-0.5048	eV/atom
Fermi-level density of states	3.48	states/eV per cell

***

No. 2
First-principles (PBE-GGA) data for crystalline SrCuPt2 at its relaxed geometry, as listed in Alexandria via LeMat-Bulk.

Lattice parameters (Å, degrees): 4.4832 4.4832 5.7596 112.98 112.98 59.98
Sites, in units of the cell vectors:
Sr  0.0000  0.0000  0.0000
Cu  0.8121  0.8121  0.4390
Pt  0.1910  0.1910  0.5754
Pt  0.5085  0.5085  0.5278

total moment	0.0	μB per cell
formation energy from the elements	-0.511	eV/atom
Fermi-level density of states	3.00	states/eV per cell

***

No. 3
First-principles (PBE-GGA) data for crystalline K3Ga3As4 at its relaxed geometry, as listed in Alexandria via LeMat-Bulk.

Lattice parameters (Å, degrees): 6.7204 15.2128 10.8284 90.00 90.00 90.00
Sites, in units of the cell vectors:
K  0.0604  0.0959  0.1200
K  0.0604  0.4041  0.3800
K  0.2500  0.0000  0.5815
K  0.2500  0.5000  0.9185
K  0.4396  0.5959  0.3800
K  0.4396  0.9041  0.1200
K  0.5604  0.0959  0.8800
K  0.5604  0.4041  0.6200
K  0.7500  0.0000  0.4185
K  0.7500  0.5000  0.0815
K  0.9396  0.5959  0.6200
K  0.9396  0.9041  0.8800
Ga  0.0995  0.7171  0.1111
Ga  0.0995  0.7829  0.3889
Ga  0.1941  0.7500  0.7500
Ga  0.3059  0.2500  0.7500
Ga  0.4005  0.2171  0.3889
Ga  0.4005  0.2829  0.1111
Ga  0.5995  0.7171  0.8889
Ga  0.5995  0.7829  0.6111
Ga  0.6941  0.7500  0.2500
Ga  0.8059  0.2500  0.2500
Ga  0.9005  0.2171  0.6111
Ga  0.9005  0.2829  0.8889
As  0.0387  0.1370  0.8056
As  0.0387  0.1758  0.4051
As  0.0387  0.3242  0.0949
As  0.0387  0.3630  0.6944
As  0.4613  0.6370  0.6944
As  0.4613  0.6758  0.0949
As  0.4613  0.8242  0.4051
As  0.4613  0.8630  0.8056
As  0.5387  0.1370  0.1944
As  0.5387  0.1758  0.5949
As  0.5387  0.3242  0.9051
As  0.5387  0.3630  0.3056
As  0.9613  0.6370  0.3056
As  0.9613  0.6758  0.9051
As  0.9613  0.8242  0.5949
As  0.9613  0.8630  0.1944

total moment	0.0	μB per cell
formation energy from the elements	-0.475	eV/atom

***

No. 4
First-principles (PBE-GGA) data for crystalline HfNbCI at its relaxed geometry, as listed in Alexandria via LeMat-Bulk.

Lattice parameters (Å, degrees): 3.6051 3.6051 7.4770 90.07 90.07 59.83
Sites, in units of the cell vectors:
Hf  0.0000  0.0000  0.0000
Nb  0.6673  0.6673  0.6840
C  0.0000  0.0000  0.7027
I  0.6676  0.6676  0.2803

total moment	0.0	μB per cell
formation energy (no corrections)	-0.0524	eV/atom
E above lowest polymorph	1.32	eV/f.u.
Fermi-level density of states	2.37	states/eV per cell

***

No. 5
First-principles (PBE-GGA) data for crystalline Tb4Pr8Sm3 at its relaxed geometry, as listed in Alexandria via LeMat-Bulk.

Lattice parameters (Å, degrees): 9.3544 9.3544 6.9625 111.36 111.36 82.46
Sites, in units of the cell vectors:
Tb  0.0000  0.0000  0.0000
Tb  0.0000  0.0000  0.5000
Tb  0.0000  0.5000  0.0000
Tb  0.5000  0.0000  0.0000
Pr  0.2459  0.2459  0.7718
Pr  0.2465  0.7535  0.0000
Pr  0.2950  0.2950  0.3119
Pr  0.2948  0.7052  0.5000
Pr  0.7052  0.2948  0.5000
Pr  0.7050  0.7050  0.6881
Pr  0.7535  0.2465  0.0000
Pr  0.7541  0.7541  0.2282
Sm  0.0000  0.5000  0.5000
Sm  0.5000  0.0000  0.5000
Sm  0.5000  0.5000  0.0000

total moment	0.0	μB per cell
formation energy from the elements	0.316	eV/atom
E above lowest polymorph	2.46	eV/f.u.
Fermi-level density of states	23.46	states/eV per cell

***

No. 6
First-principles (PBE-GGA) data for crystalline Nd3SbP at its relaxed geometry, as listed in Alexandria via LeMat-Bulk.

Lattice parameters (Å, degrees): 8.6475 4.2998 15.7092 90.00 90.00 90.00
Sites, in units of the cell vectors:
Nd  0.0167  0.2500  0.1065
Nd  0.1556  0.2500  0.5318
Nd  0.1741  0.7500  0.2893
Nd  0.3259  0.2500  0.7893
Nd  0.3444  0.7500  0.0318
Nd  0.4833  0.7500  0.6065
Nd  0.5167  0.2500  0.3935
Nd  0.6556  0.2500  0.9682
Nd  0.6741  0.7500  0.2107
Nd  0.8259  0.2500  0.7107
Nd  0.8444  0.7500  0.4682
Nd  0.9833  0.7500  0.8935
Sb  0.1113  0.7500  0.6896
Sb  0.3887  0.2500  0.1896
Sb  0.6113  0.7500  0.8104
Sb  0.8887  0.2500  0.3104
P  0.1858  0.2500  0.9487
P  0.3142  0.7500  0.4487
P  0.6858  0.2500  0.5513
P  0.8142  0.7500  0.0513

total moment	0.0	μB per cell
formation energy (no corrections)	-1.1254	eV/atom
Fermi-level density of states	18.43	states/eV per cell

***

Question: total moment of number 3 (K3Ga3As4)?
Answer: 0.0 μB per cell